[1]
Below is a geometry-optimized NaAc2CdO5 structure, with properties calculated at the PBE level.

abc: 3.7372 7.4241 10.5368
angles: 90.00 90.00 104.58
Last column: nearest neighbours and their distance in Å.
Fractional coordinates of all 18 atoms:
Na 0.7891 0.5782 0.4994  4 O 2.32-2.51
Na 0.2109 0.4218 0.9994  4 O 2.32-2.51
Ac 0.8594 0.7189 0.7919  6 O 2.48-2.71
Ac 0.1141 0.2283 0.6842  8 O 2.45-2.70
Ac 0.1406 0.2811 0.2919  6 O 2.48-2.71
Ac 0.8859 0.7717 0.1842  8 O 2.45-2.70
Cd 0.5385 0.0770 0.9733  5 O 2.18-2.41
Cd 0.4615 0.9230 0.4733  5 O 2.18-2.41
O 0.3725 0.7451 0.0034  1 Na 2.32, 1 Cd 2.41
O 0.6784 0.3569 0.8467  1 Cd 2.41, 2 Na 2.51, 3 Ac 2.66-2.70
O 0.4952 0.9904 0.7711  1 Cd 2.22
O 0.2847 0.5693 0.6762  3 Ac 2.45-2.48, 2 Na 2.64
O 0.9446 0.8892 0.5778  2 Cd 2.18, 1 Na 2.38
O 0.6275 0.2549 0.5034  1 Na 2.32, 1 Cd 2.41
O 0.3216 0.6431 0.3467  1 Cd 2.41, 2 Na 2.51, 3 Ac 2.66-2.70
O 0.5048 0.0096 0.2711  1 Cd 2.22
O 0.7153 0.4307 0.1762  3 Ac 2.45-2.48, 2 Na 2.64
O 0.0554 0.1108 0.0778  2 Cd 2.18, 1 Na 2.38

Space group: Cmc2_1, No. 36
Energy relative to the elements, uncorrected (eV/atom): -2.225


[2]
Below is a geometry-optimized PtAu2Cl structure, with properties calculated at the PBE level.

abc: 8.5143 8.5143 8.5143
angles: 21.71 21.71 21.71
Last column: nearest neighbours and their distance in Å.
Fractional coordinates of all 4 atoms:
Au 0.0017 0.0017 0.0017  3 Pt 2.75, 3 Cl 2.82
Au 0.4983 0.4983 0.4983  3 Pt 2.75, 3 Cl 2.82
Cl 0.2500 0.2500 0.2500  6 Au 2.82
Pt 0.7500 0.7500 0.7500  6 Au 2.75

Space group: R-3m, No. 166
E above lowest polymorph (eV per formula unit): 0.18
Energy relative to the elements, uncorrected (eV/atom): 0.203


> Which formula does entry 2 have?

PtAu2Cl


> Look up the energy relative to the elements, uncorrected of the first one.

-2.225 eV/atom


> Look up the energy relative to the elements, uncorrected of the second one.

0.203 eV/atom